# 1
The following is a DFT calculation (GGA-PBE) of a relaxed structure of NaBeInF4.

Results
VASP energy (eV per atom): -4.868
Total moment (μB per cell): 0.0
Energy relative to the elements, uncorrected (eV per formula unit): -18.81
Space-group type: P2_1/m (11)

```
14
Lattice="-4.8118 -0.6037 2.1480 -0.5595 -4.8111 -2.6055 6.0500 -3.1830 4.5782" Properties=species:S:1:pos:R:3 pbc="T T T"
In 2.6734 -6.5897 2.8870
Be 0.7695 -4.7534 -0.0950
F 1.0354 -5.5347 1.2906
F 3.8349 -4.5385 1.9855
F -0.3567 -3.0630 2.8302
Na -1.2136 -5.5716 1.8417
F -3.1562 -4.0592 2.1354
Be -0.0908 -3.8443 4.2158
F 1.4177 -4.0739 4.3158
Na 1.8922 -3.0261 2.2791
F -0.7391 -4.5238 -0.1950
F 4.0922 -2.3262 3.1835
In -1.9947 -2.0080 1.2338
F -3.4135 -6.2715 0.9373
```

=====

# 2
The following is a DFT calculation (GGA-PBE) of a relaxed structure of Na4CdAu.

Results
VASP energy (eV per atom): -1.739
Total moment (μB per cell): 0.0
ΔE_f (meV/atom): -161
Space-group type: C2/m (12)
Relative energy among the computed polymorphs (meV per atom): 0

```
12
Lattice="-3.3515 -3.8014 2.3394 -0.0776 -5.3070 -2.0758 6.3984 -5.5827 9.0103" Properties=species:S:1:pos:R:3 pbc="T T T"
Cd 5.4005 -5.0812 7.9925
Na 0.9925 -4.2076 2.3519
Au 0.6468 -8.2959 5.2218
Na 1.9769 -10.4835 6.9220
Na -2.2801 -6.0850 0.1636
Na -1.1490 -3.0234 0.1000
Na 3.1271 -7.4627 6.8195
Na -0.0816 -5.3651 5.5909
Na -0.1577 -7.2284 2.4544
Cd -2.3536 -4.3029 3.3572
Au 2.3225 -6.3952 4.0522
Na 3.1286 -4.0189 5.7588
```

=====

# 3
The following is a DFT calculation (GGA-PBE) of a relaxed structure of Pu5PdPt3.

Results
VASP energy (eV per atom): -10.821
Total moment (μB per cell): 32.0
ΔE_f (meV/atom): -268
Space-group type: C2/m (12)
Relative energy among the computed polymorphs (meV per atom): 335

```
18
Lattice="6.4568 -0.5780 -0.5390 1.2116 6.3684 -0.5390 2.4030 1.8145 9.9294" Properties=species:S:1:pos:R:3 pbc="T T T"
Pt 1.2015 0.9072 4.9647
Pd 2.1017 1.5869 7.3376
Pt 2.1957 1.6579 0.9397
Pu 4.4500 3.3602 2.5318
Pu 5.8560 4.4218 0.8086
Pu 2.5514 5.0523 6.2327
Pu 5.6214 4.2447 6.3197
Pt 7.8757 5.9469 7.9118
Pu 7.5200 2.5526 2.6188
Pt 0.0000 0.0000 0.0000
Pd 7.9698 6.0179 1.5139
Pu 4.2154 3.1830 8.0429
Pu 4.8369 1.5673 -0.5390
Pu 5.5577 1.0709 6.2327
Pt 6.7030 5.0613 3.8678
Pt 3.3685 2.5435 4.9837
Pu 4.5137 6.5340 2.6188
Pu 2.8316 4.2230 -0.5390
```

=====

# 4
The following is a DFT calculation (GGA-PBE) of a relaxed structure of TlFe2Br8.

Results
VASP energy (eV per atom): -3.478
Total moment (μB per cell): 9.1
Energy relative to the elements, uncorrected (eV per formula unit): -5.59
Space-group type: C2/m (12)

```
11
Lattice="6.8664 0.3658 0.2775 0.5751 8.2222 0.1684 0.5751 2.3761 7.8732" Properties=species:S:1:pos:R:3 pbc="T T T"
Br 2.3033 4.7592 7.3617
Br 5.7133 6.2049 0.9574
Tl 0.0000 0.0000 0.0000
Fe 2.6253 2.2257 1.6887
Br 3.0244 8.7346 6.6275
Br 5.7133 2.5928 5.7179
Br 6.0444 6.9840 5.2992
Br 2.3033 8.3713 2.6012
Fe 5.3913 8.7384 6.6304
Br 1.9721 3.9801 3.0199
Br 4.9922 2.2295 1.6916
```

=====

# 5
The following is a DFT calculation (GGA-PBE) of a relaxed structure of Ta2TiZn.

Results
VASP energy (eV per atom): -8.134
Total moment (μB per cell): 0.0
ΔE_f (meV/atom): 84
Space-group type: P4/mmm (123)

```
4
Lattice="-0.8592 0.1189 -3.2484 -2.9227 -1.4988 0.7182 -2.5112 5.3084 0.8585" Properties=species:S:1:pos:R:3 pbc="T T T"
Zn -1.8909 -0.6899 -1.2651
Ta -1.8879 3.9908 0.6454
Ti -3.1465 1.9643 -0.8359
Ta -0.6233 1.3176 0.2131
```

=====

# 6
The following is a DFT calculation (GGA-PBE) of a relaxed structure of ZnBMo2.

Results
VASP energy (eV per atom): -6.893
Total moment (μB per cell): 0.0
ΔE_f (meV/atom): 511
Space-group type: Fm-3m (225)
Relative energy among the computed polymorphs (meV per atom): 0

```
4
Lattice="0.0000 2.9481 2.9481 2.9481 0.0000 2.9481 2.9481 2.9481 0.0000" Properties=species:S:1:pos:R:3 pbc="T T T"
Mo 4.4221 4.4221 4.4221
B 0.0000 0.0000 0.0000
Zn 2.9481 2.9481 2.9481
Mo 1.4740 1.4740 1.4740
```

=====

# 7
The following is a DFT calculation (GGA-PBE) of a relaxed structure of Be2CoCu.

Results
VASP energy (eV per atom): -4.798
Total moment (μB per cell): 0.0
ΔE_f (meV/atom): -135
Space-group type: Amm2 (38)

```
4
Lattice="-2.5183 1.0423 -2.2776 -1.7174 -1.2690 1.3181 -1.5693 2.7663 3.0010" Properties=species:S:1:pos:R:3 pbc="T T T"
Be -1.7785 1.2299 -0.2402
Be -1.8770 2.4655 3.2036
Co -1.4937 0.6184 1.9345
Cu -3.8684 1.7408 2.3042
```

=====

# 8
The following is a DFT calculation (GGA-PBE) of a relaxed structure of LiTiHgRh2.

Results
VASP energy (eV per atom): -4.506
Total moment (μB per cell): 0.0
ΔE_f (meV/atom): 456
Space-group type: P4/mmm (123)

```
5
Lattice="-1.8176 -3.0940 2.7372 2.4933 -3.4283 -2.2196 3.3963 0.5831 2.9144" Properties=species:S:1:pos:R:3 pbc="T T T"
Rh 1.6981 0.2916 1.4572
Li 1.2467 -1.7142 -1.1098
Rh -0.9088 -1.5470 1.3686
Hg 2.0360 -2.9696 1.7160
Ti 0.0000 0.0000 0.0000
```

=====

# 9
The following is a DFT calculation (GGA-PBE) of a relaxed structure of VBiOs2C.

Results
VASP energy (eV per atom): -7.973
Total moment (μB per cell): 0.0
ΔE_f (meV/atom): 963
Space-group type: P4/mmm (123)

```
5
Lattice="3.9991 0.0000 0.0000 0.0000 4.9919 0.0000 0.0000 0.0000 3.9991" Properties=species:S:1:pos:R:3 pbc="T T T"
C 0.0000 0.0000 0.0000
V 1.9996 2.4959 1.9996
Os 0.0000 0.0000 1.9996
Bi 0.0000 2.4959 0.0000
Os 1.9996 0.0000 0.0000
```

=====

# 10
The following is a DFT calculation (GGA-PBE) of a relaxed structure of SiMoPt2.

Results
VASP energy (eV per atom): -7.485
Total moment (μB per cell): 0.0
Energy relative to the elements, uncorrected (eV per formula unit): -1.60
Space-group type: Amm2 (38)

```
4
Lattice="3.9231 0.0000 0.0000 0.0000 2.8543 0.0008 0.0000 1.4288 5.3778" Properties=species:S:1:pos:R:3 pbc="T T T"
Pt 0.0000 1.6069 5.2831
Mo 1.9616 3.0325 3.9582
Pt 1.9616 1.6052 1.4081
Si 0.0000 1.6088 2.7961
```

=====

# 11
The following is a DFT calculation (GGA-PBE) of a relaxed structure of Ag4SbAu8.

Results
VASP energy (eV per atom): -3.208
Total moment (μB per cell): 0.0
Energy relative to the elements, uncorrected (eV per formula unit): 0.04
Space-group type: Pmm2 (25)

```
13
Lattice="4.7739 0.0000 0.0000 0.0000 2.9326 0.0000 0.0000 0.0000 17.9970" Properties=species:S:1:pos:R:3 pbc="T T T"
Au 2.3870 0.0000 10.6216
Au 2.3870 1.4663 0.3462
Ag 0.0000 1.4663 11.5820
Ag 2.3870 1.4663 7.8749
Au 0.0000 1.4663 3.7140
Ag 0.0000 0.0000 1.2006
Ag 2.3870 0.0000 15.7936
Sb 0.0000 0.0000 6.2619
Au 2.3870 1.4663 13.2247
Au 0.0000 1.4663 16.6718
Au 0.0000 0.0000 14.1234
Au 0.0000 0.0000 9.0589
Au 2.3870 0.0000 2.9615
```

=====

# 12
The following is a DFT calculation (GGA-PBE) of a relaxed structure of TlIn10Hg3.

Results
VASP energy (eV per atom): -2.100
Total moment (μB per cell): 0.0
ΔE_f (meV/atom): 90
Space-group type: Fm-3m (225)

```
28
Lattice="3.4709 -9.8899 0.5975 5.5172 -4.1147 -7.9273 10.2576 -1.9011 1.1744" Properties=species:S:1:pos:R:3 pbc="T T T"
In 1.8392 -1.3716 -2.6426
In 12.1810 -10.0670 -3.8959
In 9.9981 -8.0263 -6.4743
Hg 9.3650 -10.4112 -4.8050
In 6.8383 -1.2674 0.7829
Hg 12.1220 -7.1659 -4.5707
In 7.0974 -3.3768 -4.8933
In 7.9953 -4.5641 0.9821
In 12.5185 -6.8494 -1.6351
In 4.8351 -6.0398 -5.0856
In 6.7272 -9.0562 -4.5203
Hg 7.9550 -6.3936 -5.0478
Tl 14.4343 -11.9292 -4.6165
Hg 11.2907 -9.5120 -1.1076
In 5.7332 -7.2268 0.7898
In 4.1530 -7.9647 -2.2442
In 3.6781 -2.7431 -5.2848
Tl 4.8114 -3.9764 -1.5388
In 2.3139 -6.5931 0.3983
In 8.6774 -2.6390 -1.8596
In 1.1570 -3.2968 0.1992
In 9.2476 -7.8793 0.3190
In 8.9101 -11.0969 -1.9418
Hg 7.1237 -8.7397 -1.5847
In 10.3356 -4.8087 -4.2136
In 3.4194 -0.6337 0.3915
Hg 9.8807 -5.4944 -1.3504
In 7.0647 -5.8386 -2.2595
```